Entry 1:
Entry from the Alexandria database: CaMgMn3 after structural relaxation (GGA-PBE).

The structure in CIF format:
```
data_CaMgMn3
_space_group_name_H-M_alt 'P m -3 m'
_space_group_IT_number 221
_space_group_name_Hall '-P 4 2 3'
_cell_length_a 4.9442
_cell_length_b 4.9442
_cell_length_c 4.9442
_cell_angle_alpha 90.00
_cell_angle_beta 90.00
_cell_angle_gamma 90.00
loop_
_atom_site_label
_atom_site_type_symbol
_atom_site_fract_x
_atom_site_fract_y
_atom_site_fract_z
Ca1 Ca 0.0000 0.0000 0.0000
Mg1 Mg 0.5000 0.5000 0.5000
Mn1 Mn 0.0000 0.0000 0.5000
```

Summary:
energy of formation = 152.8 kJ per mole of atoms
energy above the most stable polymorph in this dataset = 569 meV/atom
density = 3.149 g/cm³
spin magnetization = 2.266 μB/atom



Entry 2:
Entry from the Alexandria database: SmAl4Pt8 after structural relaxation (GGA-PBE).

The structure in CIF format:
```
data_SmAl4Pt8
_space_group_name_H-M_alt 'I 4/m m m'
_space_group_IT_number 139
_space_group_name_Hall '-I 4 2'
_cell_length_a 8.8198
_cell_length_b 8.8198
_cell_length_c 5.4242
_cell_angle_alpha 90.00
_cell_angle_beta 90.00
_cell_angle_gamma 90.00
loop_
_atom_site_label
_atom_site_type_symbol
_atom_site_fract_x
_atom_site_fract_y
_atom_site_fract_z
Sm1 Sm 0.0000 0.0000 0.0000
Al1 Al 0.2500 0.2500 0.2500
Pt1 Pt 0.0000 0.2259 0.5000
Pt2 Pt 0.0000 0.3340 0.0000
```

Summary:
energy of formation = -89.4 kJ per mole of atoms
density = 14.317 g/cm³
spin magnetization = 0.000 μB/atom



Entry 3:
Entry from the Alexandria database: Rb2CuRh after structural relaxation (GGA-PBE).

The structure in CIF format:
```
data_Rb2CuRh
_space_group_name_H-M_alt 'I -4 2 d'
_space_group_IT_number 122
_space_group_name_Hall 'I -4 2bw'
_cell_length_a 4.4668
_cell_length_b 4.4668
_cell_length_c 22.0779
_cell_angle_alpha 90.00
_cell_angle_beta 90.00
_cell_angle_gamma 90.00
loop_
_atom_site_label
_atom_site_type_symbol
_atom_site_fract_x
_atom_site_fract_y
_atom_site_fract_z
Rb1 Rb 0.2485 0.2500 0.1250
Cu1 Cu 0.0000 0.0000 0.5000
Rh1 Rh 0.0000 0.0000 0.0000
```

Summary:
energy of formation = 99.7 kJ per mole of atoms
energy above the most stable polymorph in this dataset = 34 meV/atom
density = 5.087 g/cm³
spin magnetization = 0.000 μB/atom



Entry 4:
Entry from the Alexandria database: Ac5La3Y2 after structural relaxation (GGA-PBE).

The structure in CIF format:
```
data_Ac5La3Y2
_space_group_name_H-M_alt 'C 1 2/c 1'
_space_group_IT_number 15
_cell_length_a 11.8040
_cell_length_b 17.6290
_cell_length_c 9.8250
_cell_angle_alpha 90.00
_cell_angle_beta 126.70
_cell_angle_gamma 90.00
loop_
_space_group_symop_operation_xyz
'x,y,z'
'-x,-y,-z'
'-x,y,-z+1/2'
'x,-y,z+1/2'
'x+1/2,y+1/2,z'
'-x+1/2,-y+1/2,-z'
'-x+1/2,y+1/2,-z+1/2'
'x+1/2,-y+1/2,z+1/2'
loop_
_atom_site_label
_atom_site_type_symbol
_atom_site_fract_x
_atom_site_fract_y
_atom_site_fract_z
Ac1 Ac 0.0000 0.0297 0.2500
Ac2 Ac 0.0000 0.2312 0.2500
Ac3 Ac 0.0000 0.2747 0.7500
Ac4 Ac 0.2435 0.3865 0.2400
La1 La 0.0000 0.4658 0.7500
La2 La 0.1501 0.1228 0.0522
Y1 Y 0.1463 0.3883 0.5411
```

Summary:
energy of formation = 16.8 kJ per mole of atoms
density = 7.008 g/cm³
spin magnetization = 0.000 μB/atom



Entry 5:
Entry from the Alexandria database: Pr3H2Pb after structural relaxation (GGA-PBE).

The structure in CIF format:
```
data_Pr3H2Pb
_space_group_name_H-M_alt 'C 1 2/m 1'
_space_group_IT_number 12
_cell_length_a 24.6416
_cell_length_b 3.7362
_cell_length_c 6.6567
_cell_angle_alpha 90.00
_cell_angle_beta 104.87
_cell_angle_gamma 90.00
loop_
_space_group_symop_operation_xyz
'x,y,z'
'-x,-y,-z'
'-x,y,-z'
'x,-y,z'
'x+1/2,y+1/2,z'
'-x+1/2,-y+1/2,-z'
'-x+1/2,y+1/2,-z'
'x+1/2,-y+1/2,z'
loop_
_atom_site_label
_atom_site_type_symbol
_atom_site_fract_x
_atom_site_fract_y
_atom_site_fract_z
Pr1 Pr 0.0332 0.0000 0.2791
Pr2 Pr 0.1036 0.5000 0.8534
Pr3 Pr 0.2344 0.0000 0.2164
H1 H 0.0570 0.0000 0.9516
H2 H 0.2052 0.5000 0.0038
Pb1 Pb 0.1487 0.5000 0.4168
```

Summary:
density = 7.086 g/cm³
spin magnetization = 0.000 μB/atom
VASP energy = -108.72 eV for the cell shown



Entry 6:
Entry from the Alexandria database: CeEr2Ga2Rh5 after structural relaxation (GGA-PBE).

The structure in CIF format:
```
data_CeEr2Ga2Rh5
_space_group_name_H-M_alt 'P 4/m b m'
_space_group_IT_number 127
_space_group_name_Hall '-P 4 2ab'
_cell_length_a 9.8703
_cell_length_b 9.8703
_cell_length_c 3.6764
_cell_angle_alpha 90.00
_cell_angle_beta 90.00
_cell_angle_gamma 90.00
loop_
_atom_site_label
_atom_site_type_symbol
_atom_site_fract_x
_atom_site_fract_y
_atom_site_fract_z
Ce1 Ce 0.0000 0.0000 0.0000
Er1 Er 0.1705 0.3295 0.0000
Ga1 Ga 0.1247 0.6247 0.0000
Rh1 Rh 0.0000 0.5000 0.5000
Rh2 Rh 0.0701 0.7922 0.5000
```

Summary:
energy of formation = -82.5 kJ per mole of atoms
density = 10.465 g/cm³
spin magnetization = 0.000 μB/atom



Entry 7:
Entry from the Alexandria database: KLi2BeF6 after structural relaxation (GGA-PBE).

The structure in CIF format:
```
data_KLi2BeF6
_space_group_name_H-M_alt 'C 1 2/c 1'
_space_group_IT_number 15
_cell_length_a 8.6554
_cell_length_b 10.1202
_cell_length_c 6.5000
_cell_angle_alpha 90.00
_cell_angle_beta 114.30
_cell_angle_gamma 90.00
loop_
_space_group_symop_operation_xyz
'x,y,z'
'-x,-y,-z'
'-x,y,-z+1/2'
'x,-y,z+1/2'
'x+1/2,y+1/2,z'
'-x+1/2,-y+1/2,-z'
'-x+1/2,y+1/2,-z+1/2'
'x+1/2,-y+1/2,z+1/2'
loop_
_atom_site_label
_atom_site_type_symbol
_atom_site_fract_x
_atom_site_fract_y
_atom_site_fract_z
K1 K 0.0000 0.1405 0.2500
Li1 Li 0.1352 0.4331 0.1632
Be1 Be 0.0000 0.1898 0.7500
F1 F 0.0962 0.2792 0.9634
F2 F 0.1234 0.4164 0.4691
F3 F 0.1245 0.0984 0.6996
```

Summary:
density = 2.253 g/cm³
spin magnetization = 0.102 μB/atom
raw formation energy = -2.6885 eV per atom



Entry 8:
Entry from the Alexandria database: AlZn2Tc after structural relaxation (GGA-PBE).

The structure in CIF format:
```
data_AlZn2Tc
_space_group_name_H-M_alt 'P m m m'
_space_group_IT_number 47
_cell_length_a 2.7568
_cell_length_b 4.0307
_cell_length_c 5.2583
_cell_angle_alpha 90.00
_cell_angle_beta 90.00
_cell_angle_gamma 90.00
loop_
_space_group_symop_operation_xyz
'x,y,z'
'-x,-y,-z'
'-x,-y,z'
'x,y,-z'
'x,-y,-z'
'-x,y,z'
'-x,y,-z'
'x,-y,z'
loop_
_atom_site_label
_atom_site_type_symbol
_atom_site_fract_x
_atom_site_fract_y
_atom_site_fract_z
Al1 Al 0.0000 0.0000 0.0000
Zn1 Zn 0.5000 0.5000 0.2571
Tc1 Tc 0.0000 0.0000 0.5000
```

Summary:
energy of formation = 2.7 kJ per mole of atoms
density = 7.270 g/cm³
spin magnetization = 0.000 μB/atom



Entry 9:
Entry from the Alexandria database: RbCa2Cr after structural relaxation (GGA-PBE).

The structure in CIF format:
```
data_RbCa2Cr
_space_group_name_H-M_alt 'I -4 2 d'
_space_group_IT_number 122
_space_group_name_Hall 'I -4 2bw'
_cell_length_a 8.2379
_cell_length_b 8.2379
_cell_length_c 12.3232
_cell_angle_alpha 90.00
_cell_angle_beta 90.00
_cell_angle_gamma 90.00
loop_
_atom_site_label
_atom_site_type_symbol
_atom_site_fract_x
_atom_site_fract_y
_atom_site_fract_z
Rb1 Rb 0.0000 0.0000 0.0000
Ca1 Ca 0.0015 0.2500 0.6250
Cr1 Cr 0.0000 0.0000 0.5000
```

Summary:
energy of formation = 139.4 kJ per mole of atoms
energy above the most stable polymorph in this dataset = 799 meV/atom
density = 1.728 g/cm³
spin magnetization = 0.091 μB/atom



Entry 10:
Entry from the Alexandria database: La4InBiN after structural relaxation (GGA-PBE).

The structure in CIF format:
```
data_La4InBiN
_space_group_name_H-M_alt 'C m c m'
_space_group_IT_number 63
_space_group_name_Hall '-C 2c 2'
_cell_length_a 7.1378
_cell_length_b 16.8675
_cell_length_c 7.1318
_cell_angle_alpha 90.00
_cell_angle_beta 90.00
_cell_angle_gamma 90.00
loop_
_atom_site_label
_atom_site_type_symbol
_atom_site_fract_x
_atom_site_fract_y
_atom_site_fract_z
La1 La 0.0000 0.0880 0.2500
La2 La 0.0000 0.4077 0.2500
La3 La 0.2500 0.2500 0.0000
In1 In 0.0000 0.1111 0.7500
Bi1 Bi 0.0000 0.3932 0.7500
N1 N 0.0000 0.2483 0.2500
```

Summary:
density = 6.911 g/cm³
spin magnetization = 0.000 μB/atom
raw formation energy = -0.8461 eV per atom



Entry 11:
Entry from the Alexandria database: CePu2NpN4 after structural relaxation (GGA-PBE).

The structure in CIF format:
```
data_CePu2NpN4
_space_group_name_H-M_alt 'P 1 2/m 1'
_space_group_IT_number 10
_cell_length_a 6.0524
_cell_length_b 3.4896
_cell_length_c 6.0548
_cell_angle_alpha 90.00
_cell_angle_beta 109.84
_cell_angle_gamma 90.00
loop_
_space_group_symop_operation_xyz
'x,y,z'
'-x,-y,-z'
'-x,y,-z'
'x,-y,z'
loop_
_atom_site_label
_atom_site_type_symbol
_atom_site_fract_x
_atom_site_fract_y
_atom_site_fract_z
Ce1 Ce 0.0000 0.0000 0.0000
Pu1 Pu 0.0000 0.5000 0.5000
Pu2 Pu 0.5000 0.0000 0.5000
Np1 Np 0.5000 0.5000 0.0000
N1 N 0.2621 0.0000 0.7571
N2 N 0.2670 0.5000 0.2505
```

Summary:
density = 12.716 g/cm³
spin magnetization = 0.388 μB/atom
raw formation energy = -1.2381 eV per atom